The following is a DFT calculation (PBE) of an optimized crystal structure of PuAg3.

abc: 4.124 4.124 11.710
angles: 90.00 90.00 90.00
Fractional coordinates of all 8 atoms:
Pu: 0.000 0.000 0.000
Pu: 0.500 0.500 0.500
Ag: 0.000 0.000 0.269
Ag: 0.000 0.000 0.500
Ag: 0.000 0.000 0.731
Ag: 0.500 0.500 0.000
Ag: 0.500 0.500 0.231
Ag: 0.500 0.500 0.769

Output
Space-group type: I4/mmm (139)
Spin magnetization: 11.78 Bohr magnetons per cell
Theoretical density: 9.5 g cm⁻³
Calculated volume: 199.16 Å³/cell
Formation energy: 0.413 eV/atom

=====

The following is a DFT calculation (PBE) of an optimized crystal structure of Cr2IrAu.

abc: 6.225 6.225 6.225
angles: 90.00 90.00 90.00
Fractional coordinates of all 16 atoms:
Cr: 0.000 0.000 0.000
Cr: 0.000 0.500 0.500
Cr: 0.250 0.250 0.250
Cr: 0.250 0.750 0.750
Cr: 0.500 0.000 0.500
Cr: 0.500 0.500 0.000
Cr: 0.750 0.250 0.750
Cr: 0.750 0.750 0.250
Ir: 0.250 0.250 0.750
Ir: 0.250 0.750 0.250
Ir: 0.750 0.250 0.250
Ir: 0.750 0.750 0.750
Au: 0.000 0.000 0.500
Au: 0.000 0.500 0.000
Au: 0.500 0.000 0.000
Au: 0.500 0.500 0.500

Output
Space-group type: F-43m (216)
Spin magnetization: 4.97 Bohr magnetons per cell
Theoretical density: 13.6 g cm⁻³
Calculated volume: 241.28 Å³/cell
Formation energy: 0.311 eV/atom
Energy above the most stable polymorph in this dataset: 199 meV/atom

=====

The following is a DFT calculation (PBE) of an optimized crystal structure of Cs2TcRuF6.

abc: 6.296 6.296 6.296
angles: 60.00 60.00 60.00
Fractional coordinates of all 10 atoms:
Cs: 0.250 0.250 0.250
Cs: 0.750 0.750 0.750
Tc: 0.000 0.000 0.000
Ru: 0.500 0.500 0.500
F: 0.257 0.257 0.743
F: 0.257 0.743 0.257
F: 0.257 0.743 0.743
F: 0.743 0.257 0.257
F: 0.743 0.257 0.743
F: 0.743 0.743 0.257

Output
Space-group type: Fm-3m (225)
Spin magnetization: 5.00 Bohr magnetons per cell
Theoretical density: 5.4 g cm⁻³
Calculated volume: 176.51 Å³/cell
VASP energy: -50.217 eV/cell

=====

The following is a DFT calculation (PBE) of an optimized crystal structure of PuAgS3.

abc: 6.747 6.747 6.334
angles: 90.00 90.00 120.00
Fractional coordinates of all 10 atoms:
Pu: 0.333 0.667 0.000
Pu: 0.667 0.333 0.000
Ag: 0.000 0.000 0.235
Ag: 0.000 0.000 0.765
S: 0.000 0.371 0.760
S: 0.000 0.629 0.240
S: 0.371 0.000 0.760
S: 0.371 0.371 0.240
S: 0.629 0.000 0.240
S: 0.629 0.629 0.760

Output
Space-group type: P-31m (162)
Spin magnetization: 5.99 Bohr magnetons per cell
Theoretical density: 6.0 g cm⁻³
Calculated volume: 249.73 Å³/cell
VASP energy: -66.531 eV/cell